1.
RbInTeRu2 | Alexandria via LeMat-Bulk | PBE | relaxed; total DFT energy (no corrections) = -4.08 eV per atom; symmetry = No. 123; magnetic moment = 1.8 μB per formula unit; uncorrected formation energy = 1.000 eV/atom; Fermi-level density of states = 6.13 states/eV per cell
1.0
-4.515 -1.870 0.969
2.268 -5.682 -0.397
1.019 0.066 4.877
Te Ru In Rb
1 2 1 1
direct
0.000 0.000 0.000 Te
0.000 0.000 0.500 Ru
0.500 0.000 0.000 Ru
0.000 0.500 0.000 In
0.500 0.500 0.500 Rb

2.
TiNbZn3 | Alexandria via LeMat-Bulk | PBE | relaxed; total DFT energy (no corrections) = -3.20 eV per atom; E_form = 1.162 eV per atom; symmetry = No. 221; offset from the most stable computed form = 0 meV per atom; magnetic moment = 1.2 μB per formula unit; Fermi-level density of states = 4.12 states/eV per cell
1.0
4.647 0.000 0.000
0.000 4.647 0.000
0.000 0.000 4.647
Zn Ti Nb
3 1 1
direct
0.000 0.000 0.500 Zn
0.000 0.500 0.000 Zn
0.500 0.000 0.000 Zn
0.000 0.000 0.000 Ti
0.500 0.500 0.500 Nb

3.
CuPd4Au | Alexandria via LeMat-Bulk | PBE | relaxed; total DFT energy (no corrections) = -4.75 eV per atom; E_form = -0.061 eV per atom; symmetry = No. 123; magnetic moment = 0.0 μB per formula unit; Fermi-level density of states = 10.59 states/eV per cell
1.0
-0.703 -0.645 2.642
0.431 -2.721 -0.550
11.133 1.109 3.232
Pd Au Cu
4 1 1
direct
0.500 0.500 0.820 Pd
0.000 0.000 0.649 Pd
0.500 0.500 0.180 Pd
0.000 0.000 0.351 Pd
0.000 0.000 0.000 Au
0.500 0.500 0.500 Cu

4.
RbPbO3 | Alexandria via LeMat-Bulk | PBE | relaxed; total DFT energy (no corrections) = -4.69 eV per atom; symmetry = No. 12; magnetic moment = 1.0 μB per formula unit; uncorrected formation energy = -0.775 eV/atom; Fermi-level density of states = 5.33 states/eV per cell
1.0
-2.239 -0.209 -2.572
6.452 -2.198 -3.168
-2.424 -7.259 2.700
O Pb Rb
6 2 2
direct
0.731 0.463 0.691 O
0.939 0.877 0.326 O
0.269 0.537 0.309 O
0.061 0.123 0.674 O
0.333 0.665 0.986 O
0.667 0.335 0.014 O
0.812 0.623 0.161 Pb
0.188 0.377 0.839 Pb
0.603 0.207 0.369 Rb
0.397 0.793 0.631 Rb